Entry 1:
## PaCoAg (PBE-GGA)

Data for PaCoAg after structural relaxation.

Properties
ΔE_f = 0.77 eV per atom
Relative energy among the computed polymorphs = 0.5655 eV per atom
Space group = F-43m, No. 216

Unit cell a=4.578 b=4.578 c=4.578 alpha=60.00 beta=60.00 gamma=60.00
Positions (direct):
Ag 0.500 0.500 0.500
Pa 0.250 0.250 0.250
Co 0.000 0.000 0.000



Entry 2:
## PaCoAg (PBE-GGA)

Data for PaCoAg after structural relaxation.

Properties
ΔE_f = 0.21 eV per atom
Relative energy among the computed polymorphs = 0.0000 eV per atom
Space group = F-43m, No. 216

Unit cell a=4.419 b=4.419 c=4.419 alpha=60.00 beta=60.00 gamma=60.00
Positions (direct):
Ag 0.250 0.250 0.250
Co 0.000 0.000 0.000
Pa 0.750 0.750 0.750



Entry 3:
## CoAg2Pb (PBE-GGA)

Data for CoAg2Pb after structural relaxation.

Properties
Final energy = -14.9 eV for the cell shown
Space group = F-43m, No. 216

Unit cell a=4.689 b=4.689 c=4.689 alpha=60.00 beta=60.00 gamma=60.00
Each line ends with the local moment (μB).
Positions (direct):
Ag 0.750 0.750 0.750  0.01
Ag 0.000 0.000 0.000  0.00
Pb 0.500 0.500 0.500  -0.01
Co 0.250 0.250 0.250  1.41



Entry 4:
## CoReAgPb (PBE-GGA)

Data for CoReAgPb after structural relaxation.

Properties
Relative energy among the computed polymorphs = 0.0000 eV per atom
Space group = F-43m, No. 216

Unit cell a=4.556 b=4.556 c=4.556 alpha=60.00 beta=60.00 gamma=60.00
Each line ends with the local moment (μB).
Positions (direct):
Co 0.750 0.750 0.750  1.31
Re 0.250 0.250 0.250  0.86
Ag 0.500 0.500 0.500  0.06
Pb 0.000 0.000 0.000  -0.03



Entry 5:
## CoAgPbS3 (PBE-GGA)

Data for CoAgPbS3 after structural relaxation.

Properties
Final energy = -54.0 eV for the cell shown
Space group = Cmcm, No. 63

Unit cell a=7.352 b=7.352 c=9.813 alpha=90.00 beta=90.00 gamma=152.18
Each line ends with the local moment (μB).
Positions (direct):
S 0.966 0.034 0.750  0.01
S 0.601 0.399 0.514  0.00
S 0.034 0.966 0.250  0.01
S 0.399 0.601 0.486  0.00
S 0.601 0.399 0.986  0.00
S 0.399 0.601 0.014  0.00
Pb 0.321 0.679 0.750  0.00
Pb 0.679 0.321 0.250  0.00
Co 0.000 0.000 0.000  0.33
Co 0.000 0.000 0.500  0.35
Ag 0.358 0.642 0.250  0.01
Ag 0.642 0.358 0.750  0.01



Entry 6:
## ScCoAgPb (PBE-GGA)

Data for ScCoAgPb after structural relaxation.

Properties
Relative energy among the computed polymorphs = 0.0000 eV per atom
Space group = F-43m, No. 216

Unit cell a=4.680 b=4.680 c=4.680 alpha=60.00 beta=60.00 gamma=60.00
Positions (direct):
Co 0.750 0.750 0.750
Pb 0.000 0.000 0.000
Sc 0.500 0.500 0.500
Ag 0.250 0.250 0.250



Entry 7:
## ScCoAgPb (PBE-GGA)

Data for ScCoAgPb after structural relaxation.

Properties
Relative energy among the computed polymorphs = 0.0452 eV per atom
Space group = F-43m, No. 216

Unit cell a=4.686 b=4.686 c=4.686 alpha=60.00 beta=60.00 gamma=60.00
Each line ends with the local moment (μB).
Positions (direct):
Co 0.750 0.750 0.750  -0.36
Ag 0.500 0.500 0.500  0.00
Sc 0.250 0.250 0.250  0.04
Pb 0.000 0.000 0.000  0.00



Entry 8:
## CoAgPbSe3 (PBE-GGA)

Data for CoAgPbSe3 after structural relaxation.

Properties
Final energy = -50.0 eV for the cell shown
Space group = Cmcm, No. 63

Unit cell a=7.628 b=7.628 c=10.289 alpha=90.00 beta=90.00 gamma=152.39
Positions (direct):
Ag 0.645 0.355 0.250
Ag 0.355 0.645 0.750
Se 0.395 0.605 0.512
Se 0.969 0.031 0.250
Se 0.395 0.605 0.988
Se 0.605 0.395 0.488
Se 0.031 0.969 0.750
Se 0.605 0.395 0.012
Co 0.000 0.000 0.500
Co 0.000 0.000 0.000
Pb 0.315 0.685 0.250
Pb 0.685 0.315 0.750



Entry 9:
## ZnCoAgPb (PBE-GGA)

Data for ZnCoAgPb after structural relaxation.

Properties
Relative energy among the computed polymorphs = 0.0000 eV per atom
Space group = F-43m, No. 216

Unit cell a=4.624 b=4.624 c=4.624 alpha=60.00 beta=60.00 gamma=60.00
Positions (direct):
Co 0.750 0.750 0.750
Zn 0.500 0.500 0.500
Pb 0.000 0.000 0.000
Ag 0.250 0.250 0.250



Entry 10:
## ZrCoAgPb (PBE-GGA)

Data for ZrCoAgPb after structural relaxation.

Properties
Relative energy among the computed polymorphs = 0.0000 eV per atom
Space group = F-43m, No. 216

Unit cell a=4.711 b=4.711 c=4.711 alpha=60.00 beta=60.00 gamma=60.00
Positions (direct):
Zr 0.500 0.500 0.500
Ag 0.250 0.250 0.250
Co 0.750 0.750 0.750
Pb 0.000 0.000 0.000



Entry 11:
## ZrCoAgPb (PBE-GGA)

Data for ZrCoAgPb after structural relaxation.

Properties
Relative energy among the computed polymorphs = 0.1280 eV per atom
Space group = F-43m, No. 216

Unit cell a=4.709 b=4.709 c=4.709 alpha=60.00 beta=60.00 gamma=60.00
Positions (direct):
Co 0.750 0.750 0.750
Zr 0.250 0.250 0.250
Pb 0.000 0.000 0.000
Ag 0.500 0.500 0.500



Entry 12:
## CoAg2Pd (PBE-GGA)

Data for CoAg2Pd after structural relaxation.

Properties
ΔE_f = 0.27 eV per atom
Space group = F-43m, No. 216

Unit cell a=4.467 b=4.467 c=4.467 alpha=60.00 beta=60.00 gamma=60.00
Positions (direct):
Co 0.250 0.250 0.250
Ag 0.000 0.000 0.000
Ag 0.750 0.750 0.750
Pd 0.500 0.500 0.500



Entry 13:
## CoAgPd2 (PBE-GGA)

Data for CoAgPd2 after structural relaxation.

Properties
ΔE_f = 0.21 eV per atom
Space group = F-43m, No. 216

Unit cell a=4.412 b=4.412 c=4.412 alpha=60.00 beta=60.00 gamma=60.00
Each line ends with the local moment (μB).
Positions (direct):
Pd 0.500 0.500 0.500  0.13
Pd 0.250 0.250 0.250  0.24
Co 0.000 0.000 0.000  2.04
Ag 0.750 0.750 0.750  0.01



Entry 14:
## CoAgPd (PBE-GGA)

Data for CoAgPd after structural relaxation.

Properties
ΔE_f = 0.51 eV per atom
Relative energy among the computed polymorphs = 0.0000 eV per atom
Space group = F-43m, No. 216

Unit cell a=4.130 b=4.130 c=4.130 alpha=60.00 beta=60.00 gamma=60.00
Positions (direct):
Pd 0.750 0.750 0.750
Co 0.000 0.000 0.000
Ag 0.250 0.250 0.250



Entry 15:
## CoAgSbPd (PBE-GGA)

Data for CoAgSbPd after structural relaxation.

Properties
Relative energy among the computed polymorphs = 0.0000 eV per atom
Space group = F-43m, No. 216

Unit cell a=4.520 b=4.520 c=4.520 alpha=60.00 beta=60.00 gamma=60.00
Each line ends with the local moment (μB).
Positions (direct):
Co 0.750 0.750 0.750  1.29
Pd 0.250 0.250 0.250  0.08
Sb 0.000 0.000 0.000  0.01
Ag 0.500 0.500 0.500  0.00



Entry 16:
## CoSiAgPd (PBE-GGA)

Data for CoSiAgPd after structural relaxation.

Properties
Relative energy among the computed polymorphs = 0.0000 eV per atom
Space group = F-43m, No. 216

Unit cell a=4.273 b=4.273 c=4.273 alpha=60.00 beta=60.00 gamma=60.00
Each line ends with the local moment (μB).
Positions (direct):
Ag 0.500 0.500 0.500  -0.01
Co 0.750 0.750 0.750  0.70
Pd 0.250 0.250 0.250  0.03
Si 0.000 0.000 0.000  -0.01



Entry 17:
## CoAgSnPd (PBE-GGA)

Data for CoAgSnPd after structural relaxation.

Properties
Relative energy among the computed polymorphs = 0.0000 eV per atom
Space group = F-43m, No. 216

Unit cell a=4.502 b=4.502 c=4.502 alpha=60.00 beta=60.00 gamma=60.00
Each line ends with the local moment (μB).
Positions (direct):
Sn 0.000 0.000 0.000  -0.04
Co 0.750 0.750 0.750  1.02
Pd 0.250 0.250 0.250  0.04
Ag 0.500 0.500 0.500  -0.01



Entry 18:
## ZnCoAgPd (PBE-GGA)

Data for ZnCoAgPd after structural relaxation.

Properties
ΔE_f = 0.08 eV per atom
Relative energy among the computed polymorphs = 0.0000 eV per atom
Space group = F-43m, No. 216

Unit cell a=4.359 b=4.359 c=4.359 alpha=60.00 beta=60.00 gamma=60.00
Each line ends with the local moment (μB).
Positions (direct):
Zn 0.000 0.000 0.000  -0.04
Ag 0.500 0.500 0.500  0.00
Pd 0.250 0.250 0.250  0.00
Co 0.750 0.750 0.750  1.44



Entry 19:
## PmCoAg (PBE-GGA)

Data for PmCoAg after structural relaxation.

Properties
ΔE_f = 0.71 eV per atom
Space group = F-43m, No. 216

Unit cell a=4.670 b=4.670 c=4.670 alpha=60.00 beta=60.00 gamma=60.00
Each line ends with the local moment (μB).
Positions (direct):
Co 0.250 0.250 0.250  1.04
Pm 0.500 0.500 0.500  -0.10
Ag 0.750 0.750 0.750  0.01



Entry 20:
## CoAgPt2 (PBE-GGA)

Data for CoAgPt2 after structural relaxation.

Properties
ΔE_f = 0.22 eV per atom
Space group = F-43m, No. 216

Unit cell a=4.428 b=4.428 c=4.428 alpha=60.00 beta=60.00 gamma=60.00
Each line ends with the local moment (μB).
Positions (direct):
Co 0.000 0.000 0.000  2.02
Ag 0.750 0.750 0.750  0.01
Pt 0.250 0.250 0.250  0.25
Pt 0.500 0.500 0.500  0.19